(1)
Ir3Pb: optimized geometry, PBE.

Values from the calculation:
ΔH_f (0 K) = 780 meV per atom
SG = R-3m, No. 166

POSCAR file:
```
Ir3Pb
1.0
8.977 0.000 0.000
-4.489 7.774 0.000
0.000 0.000 2.942
Ir Pb
9 3
direct
0.000 0.500 0.000
0.167 0.333 0.333
0.167 0.833 0.333
0.333 0.167 0.667
0.500 0.000 0.000
0.500 0.500 0.000
0.667 0.833 0.333
0.833 0.167 0.667
0.833 0.667 0.667
0.000 0.000 0.000
0.333 0.667 0.667
0.667 0.333 0.333
```

(2)
TaAlPS2: optimized geometry, PBE.

Values from the calculation:
Uncorrected formation energy = -0.2 eV/f.u.
ΔE to the lowest computed polymorph = 0.000 eV per atom
SG = P4/mmm, No. 123

POSCAR file:
```
TaAlPS2
1.0
4.760 0.000 0.000
0.000 4.760 0.000
0.000 0.000 4.966
Ta Al P S
1 1 1 2
direct
0.000 0.000 0.000
0.500 0.500 0.500
0.000 0.000 0.500
0.000 0.500 0.000
0.500 0.000 0.000
```

(3)
Sm5Ge4: optimized geometry, PBE.

Values from the calculation:
ΔE to the lowest computed polymorph = 0.000 eV per atom
ΔH_f (0 K) = -831 meV per atom
SG = Pnma, No. 62

POSCAR file:
```
Sm5Ge4
1.0
7.835 0.000 0.000
0.000 15.038 0.000
0.000 0.000 7.930
Sm Ge
20 16
direct
0.027 0.103 0.178
0.027 0.397 0.178
0.119 0.615 0.339
0.119 0.885 0.339
0.215 0.250 0.502
0.285 0.750 0.002
0.381 0.115 0.839
0.381 0.385 0.839
0.473 0.603 0.678
0.473 0.897 0.678
0.527 0.103 0.322
0.527 0.397 0.322
0.619 0.615 0.161
0.619 0.885 0.161
0.715 0.250 0.998
0.785 0.750 0.498
0.881 0.115 0.661
0.881 0.385 0.661
0.973 0.603 0.822
0.973 0.897 0.822
0.087 0.250 0.887
0.171 0.750 0.634
0.222 0.045 0.531
0.222 0.455 0.531
0.278 0.545 0.031
0.278 0.955 0.031
0.329 0.250 0.134
0.413 0.750 0.387
0.587 0.250 0.613
0.671 0.750 0.866
0.722 0.045 0.969
0.722 0.455 0.969
0.778 0.545 0.469
0.778 0.955 0.469
0.829 0.250 0.366
0.913 0.750 0.113
```

(4)
V3PPb: optimized geometry, PBE.

Values from the calculation:
ΔE to the lowest computed polymorph = 0.000 eV per atom
ΔH_f (0 K) = 189 meV per atom
SG = Pm-3m, No. 221

POSCAR file:
```
V3PPb
1.0
4.432 0.000 0.000
0.000 4.432 0.000
0.000 0.000 4.432
V P Pb
3 1 1
direct
0.000 0.000 0.500
0.000 0.500 0.000
0.500 0.000 0.000
0.000 0.000 0.000
0.500 0.500 0.500
```

(5)
Pr3RhBr3: optimized geometry, PBE.

Values from the calculation:
Uncorrected formation energy = -9.4 eV/f.u.
ΔE to the lowest computed polymorph = 0.020 eV per atom
SG = P2_1/m, No. 11

POSCAR file:
```
Pr3RhBr3
1.0
9.125 0.000 0.000
0.000 4.116 0.000
-0.635 0.000 12.284
Pr Rh Br
6 2 6
direct
0.102 0.250 0.381
0.127 0.250 0.851
0.326 0.750 0.623
0.674 0.250 0.377
0.873 0.750 0.149
0.898 0.750 0.619
0.115 0.250 0.622
0.885 0.750 0.378
0.122 0.250 0.114
0.375 0.750 0.873
0.391 0.750 0.374
0.609 0.250 0.626
0.625 0.250 0.127
0.878 0.750 0.886
```

(6)
TbSm2Te: optimized geometry, PBE.

Values from the calculation:
Uncorrected formation energy = -1.0 eV/f.u.
ΔE to the lowest computed polymorph = 0.426 eV per atom
SG = R-3m, No. 166

POSCAR file:
```
TbSm2Te
1.0
3.893 0.000 0.000
-1.946 3.371 0.000
0.000 0.000 32.254
Tb Sm Te
3 6 3
direct
0.000 0.000 0.000
0.333 0.667 0.667
0.667 0.333 0.333
0.000 0.000 0.102
0.000 0.000 0.898
0.333 0.667 0.565
0.333 0.667 0.768
0.667 0.333 0.232
0.667 0.333 0.435
0.000 0.000 0.500
0.333 0.667 0.167
0.667 0.333 0.833
```

(7)
ZrFe2Re: optimized geometry, PBE.

Values from the calculation:
ΔH_f (0 K) = 40 meV per atom
SG = P4mm, No. 99

POSCAR file:
```
ZrFe2Re
1.0
3.089 0.000 0.000
0.000 3.089 0.000
0.000 0.000 6.261
Zr Fe Re
1 2 1
direct
0.000 0.000 0.000
0.000 0.000 0.478
0.500 0.500 0.268
0.500 0.500 0.694
```

(8)
SiRu2F: optimized geometry, PBE.

Values from the calculation:
Uncorrected formation energy = -0.4 eV/f.u.
ΔE to the lowest computed polymorph = 0.099 eV per atom
SG = I-42d, No. 122

POSCAR file:
```
SiRu2F
1.0
7.934 0.000 0.000
0.000 7.934 0.000
0.000 0.000 3.902
Si Ru F
4 8 4
direct
0.000 0.000 0.000
0.000 0.500 0.250
0.500 0.000 0.750
0.500 0.500 0.500
0.163 0.250 0.125
0.250 0.663 0.375
0.250 0.837 0.875
0.337 0.250 0.625
0.663 0.750 0.625
0.750 0.163 0.875
0.750 0.337 0.375
0.837 0.750 0.125
0.000 0.000 0.500
0.000 0.500 0.750
0.500 0.000 0.250
0.500 0.500 0.000
```

(9)
BaCa2TlAs: optimized geometry, PBE.

Values from the calculation:
ΔH_f (0 K) = -560 meV per atom
SG = P4/mmm, No. 123

POSCAR file:
```
BaCa2TlAs
1.0
5.605 0.000 0.000
0.000 5.605 0.000
0.000 0.000 6.436
Ba Ca Tl As
1 2 1 1
direct
0.000 0.000 0.000
0.000 0.500 0.500
0.500 0.000 0.500
0.500 0.500 0.000
0.000 0.000 0.500
```

(10)
PuZnCuNi: optimized geometry, PBE.

Values from the calculation:
ΔH_f (0 K) = 33 meV per atom
SG = F-43m, No. 216

POSCAR file:
```
PuZnCuNi
1.0
6.445 0.000 0.000
0.000 6.445 0.000
0.000 0.000 6.445
Pu Zn Cu Ni
4 4 4 4
direct
0.000 0.000 0.000
0.000 0.500 0.500
0.500 0.000 0.500
0.500 0.500 0.000
0.000 0.000 0.500
0.000 0.500 0.000
0.500 0.000 0.000
0.500 0.500 0.500
0.250 0.250 0.250
0.250 0.750 0.750
0.750 0.250 0.750
0.750 0.750 0.250
0.250 0.250 0.750
0.250 0.750 0.250
0.750 0.250 0.250
0.750 0.750 0.750
```

(11)
TaCd2P: optimized geometry, PBE.

Values from the calculation:
ΔH_f (0 K) = 310 meV per atom
SG = Cmmm, No. 65

POSCAR file:
```
TaCd2P
1.0
5.290 0.000 0.000
0.000 9.470 0.000
0.000 0.000 3.036
Ta Cd P
2 4 2
direct
0.000 0.000 0.000
0.500 0.500 0.000
0.250 0.250 0.500
0.250 0.750 0.500
0.750 0.250 0.500
0.750 0.750 0.500
0.000 0.500 0.000
0.500 0.000 0.000
```

(12)
CeScMoRu: optimized geometry, PBE.

Values from the calculation:
ΔH_f (0 K) = -86 meV per atom
SG = F-43m, No. 216

POSCAR file:
```
CeScMoRu
1.0
6.693 0.000 0.000
0.000 6.693 0.000
0.000 0.000 6.693
Ce Sc Mo Ru
4 4 4 4
direct
0.000 0.000 0.000
0.000 0.500 0.500
0.500 0.000 0.500
0.500 0.500 0.000
0.000 0.000 0.500
0.000 0.500 0.000
0.500 0.000 0.000
0.500 0.500 0.500
0.250 0.250 0.750
0.250 0.750 0.250
0.750 0.250 0.250
0.750 0.750 0.750
0.250 0.250 0.250
0.250 0.750 0.750
0.750 0.250 0.750
0.750 0.750 0.250
```

(13)
Te2PtW: optimized geometry, PBE.

Values from the calculation:
Uncorrected formation energy = 2.7 eV/f.u.
ΔE to the lowest computed polymorph = 0.615 eV per atom
SG = C2/m, No. 12

POSCAR file:
```
Te2PtW
1.0
6.661 0.000 0.000
0.000 8.936 0.000
-0.006 0.000 2.901
Te Pt W
4 2 2
direct
0.250 0.250 0.000
0.250 0.750 0.000
0.750 0.250 0.000
0.750 0.750 0.000
0.000 0.000 0.000
0.500 0.500 0.000
0.000 0.500 0.000
0.500 0.000 0.000
```

(14)
Sr2MgIn6Ga: optimized geometry, PBE.

Values from the calculation:
ΔH_f (0 K) = -145 meV per atom
SG = R-3m, No. 166

POSCAR file:
```
Sr2MgIn6Ga
1.0
3.711 2.143 12.627
-3.711 2.143 12.627
0.000 -4.285 12.627
Sr Mg In Ga
4 2 12 2
direct
0.110 0.110 0.110
0.287 0.287 0.287
0.713 0.713 0.713
0.890 0.890 0.890
0.000 0.000 0.000
0.500 0.500 0.500
0.067 0.662 0.662
0.230 0.230 0.652
0.230 0.652 0.230
0.338 0.338 0.933
0.338 0.933 0.338
0.348 0.770 0.770
0.652 0.230 0.230
0.662 0.067 0.662
0.662 0.662 0.067
0.770 0.348 0.770
0.770 0.770 0.348
0.933 0.338 0.338
0.428 0.428 0.428
0.572 0.572 0.572
```

(15)
Ac2Cd3Rh4: optimized geometry, PBE.

Values from the calculation:
ΔH_f (0 K) = -423 meV per atom
SG = Cmce, No. 64

POSCAR file:
```
Ac2Cd3Rh4
1.0
2.992 -8.859 0.000
2.992 8.859 0.000
0.000 0.000 7.361
Ac Cd Rh
4 6 8
direct
0.103 0.897 0.916
0.397 0.603 0.416
0.603 0.397 0.584
0.897 0.103 0.084
0.000 0.000 0.500
0.013 0.487 0.750
0.487 0.013 0.250
0.500 0.500 0.000
0.513 0.987 0.750
0.987 0.513 0.250
0.159 0.841 0.520
0.172 0.328 0.750
0.328 0.172 0.250
0.341 0.659 0.020
0.659 0.341 0.980
0.672 0.828 0.750
0.828 0.672 0.250
0.841 0.159 0.480
```

(16)
CrFe2Se: optimized geometry, PBE.

Values from the calculation:
Uncorrected formation energy = 1.3 eV/f.u.
ΔE to the lowest computed polymorph = 0.140 eV per atom
SG = P4/mmm, No. 123

POSCAR file:
```
CrFe2Se
1.0
3.713 0.000 0.000
0.000 3.713 0.000
0.000 0.000 3.484
Cr Fe Se
1 2 1
direct
0.000 0.000 0.000
0.000 0.500 0.500
0.500 0.000 0.500
0.500 0.500 0.000
```

(17)
LiNiHPt2: optimized geometry, PBE.

Values from the calculation:
ΔE to the lowest computed polymorph = 0.022 eV per atom
SG = P4/mmm, No. 123

POSCAR file:
```
LiNiHPt2
1.0
3.975 0.000 0.000
0.000 3.975 0.000
0.000 0.000 3.614
Li Ni H Pt
1 1 1 2
direct
0.000 0.000 0.000
0.500 0.500 0.000
0.500 0.500 0.500
0.000 0.500 0.500
0.500 0.000 0.500
```

(18)
ScCuAu2O6: optimized geometry, PBE.

Values from the calculation:
Uncorrected formation energy = -9.0 eV/f.u.
SG = C2/c, No. 15

POSCAR file:
```
ScCuAu2O6
1.0
5.693 -3.785 0.000
5.693 3.785 0.000
-1.446 0.000 5.718
Sc Cu Au O
2 2 4 12
direct
0.117 0.883 0.750
0.883 0.117 0.250
0.346 0.654 0.250
0.654 0.346 0.750
0.150 0.380 0.762
0.380 0.150 0.262
0.620 0.850 0.738
0.850 0.620 0.238
0.065 0.144 0.582
0.144 0.065 0.082
0.190 0.474 0.292
0.269 0.609 0.927
0.391 0.731 0.573
0.474 0.190 0.792
0.526 0.810 0.208
0.609 0.269 0.427
0.731 0.391 0.073
0.810 0.526 0.708
0.856 0.935 0.918
0.935 0.856 0.418
```

(19)
Ce5Ni2Ge5: optimized geometry, PBE.

Values from the calculation:
ΔE to the lowest computed polymorph = 0.114 eV per atom
ΔH_f (0 K) = -596 meV per atom
SG = C2/m, No. 12

POSCAR file:
```
Ce5Ni2Ge5
1.0
5.780 -2.096 0.000
5.780 2.096 0.000
-3.519 0.000 10.515
Ce Ni Ge
5 2 5
direct
0.000 0.000 0.000
0.331 0.331 0.501
0.369 0.369 0.242
0.631 0.631 0.758
0.669 0.669 0.499
0.322 0.322 0.748
0.678 0.678 0.252
0.000 0.000 0.500
0.089 0.089 0.282
0.290 0.290 0.952
0.710 0.710 0.048
0.911 0.911 0.718
```

(20)
Np2ZnGa3Au4: optimized geometry, PBE.

Values from the calculation:
ΔH_f (0 K) = -203 meV per atom
SG = P-4m2, No. 115

POSCAR file:
```
Np2ZnGa3Au4
1.0
4.295 0.000 0.000
0.000 4.295 0.000
0.000 0.000 11.041
Np Zn Ga Au
2 1 3 4
direct
0.000 0.500 0.248
0.500 0.000 0.752
0.000 0.000 0.500
0.000 0.500 0.864
0.500 0.000 0.136
0.500 0.500 0.500
0.000 0.000 0.000
0.000 0.500 0.638
0.500 0.000 0.362
0.500 0.500 0.000
```

(21)
TlIn2Co: optimized geometry, PBE.

Values from the calculation:
ΔE to the lowest computed polymorph = 0.348 eV per atom
ΔH_f (0 K) = 500 meV per atom
SG = P4/mmm, No. 123

POSCAR file:
```
TlIn2Co
1.0
4.962 0.000 0.000
0.000 4.962 0.000
0.000 0.000 3.597
Tl In Co
1 2 1
direct
0.000 0.000 0.000
0.000 0.500 0.500
0.500 0.000 0.500
0.500 0.500 0.000
```

(22)
Ce5Te2N: optimized geometry, PBE.

Values from the calculation:
Uncorrected formation energy = -5.9 eV/f.u.
SG = Cmcm, No. 63

POSCAR file:
```
Ce5Te2N
1.0
2.904 -5.691 0.000
2.904 5.691 0.000
0.000 0.000 14.078
Ce Te N
10 4 2
direct
0.068 0.932 0.655
0.068 0.932 0.845
0.281 0.719 0.250
0.380 0.620 0.625
0.380 0.620 0.875
0.620 0.380 0.125
0.620 0.380 0.375
0.719 0.281 0.750
0.932 0.068 0.155
0.932 0.068 0.345
0.178 0.822 0.048
0.178 0.822 0.452
0.822 0.178 0.548
0.822 0.178 0.952
0.248 0.752 0.750
0.752 0.248 0.250
```

For the records above, the corresponding total magnetic moment values read 0.00; 0.00; 0.00; 0.61; 0.00; 0.24; 0.94; 0.00; 0.00; 1.27; 0.00; 0.00; 0.00; 0.00; 0.00; 0.90; 0.19; 0.00; 0.10; 0.87; 0.33; 0.67 μB/atom.